(1)
The following is a DFT calculation (PBE-GGA) of a relaxed structure of Sm3Rh3Pb.

magnetization = 0.00 μB/cell
energy of formation from the pure elements = -0.378 eV per atom

Geometry as CIF:
```
data_Sm3Rh3Pb
_space_group_name_H-M_alt 'P 63/m'
_space_group_IT_number 176
_space_group_name_Hall '-P 6c'
_cell_length_a 8.7928
_cell_length_b 8.7928
_cell_length_c 5.5674
_cell_angle_alpha 90.00
_cell_angle_beta 90.00
_cell_angle_gamma 120.00
loop_
_atom_site_label
_atom_site_type_symbol
_atom_site_fract_x
_atom_site_fract_y
_atom_site_fract_z
_atom_site_occupancy
Sm1 Sm 0.0317 0.7117 0.2500 1
Rh1 Rh 0.0244 0.6588 0.7500 1
Pb1 Pb 0.3333 0.6667 0.7500 1
```

=====

(2)
The following is a DFT calculation (PBE-GGA) of a relaxed structure of Sm2RhPb2.

magnetization = 0.00 μB/cell
energy of formation from the pure elements = -0.578 eV per atom

Geometry as CIF:
```
data_Sm2RhPb2
_space_group_name_H-M_alt 'C 1 2/m 1'
_space_group_IT_number 12
_cell_length_a 11.335
_cell_length_b 4.566
_cell_length_c 11.419
_cell_angle_alpha 90.00
_cell_angle_beta 116.02
_cell_angle_gamma 90.00
loop_
_space_group_symop_operation_xyz
'x,y,z'
'-x,-y,-z'
'-x,y,-z'
'x,-y,z'
'x+1/2,y+1/2,z'
'-x+1/2,-y+1/2,-z'
'-x+1/2,y+1/2,-z'
'x+1/2,-y+1/2,z'
loop_
_atom_site_label
_atom_site_type_symbol
_atom_site_fract_x
_atom_site_fract_y
_atom_site_fract_z
_atom_site_occupancy
Sm1 Sm 0.004 0.000 0.172 1
Sm2 Sm 0.185 0.000 0.632 1
Rh1 Rh 0.219 0.500 0.821 1
Pb1 Pb 0.037 0.500 0.385 1
Pb2 Pb 0.156 0.500 0.047 1
```

=====

(3)
The following is a DFT calculation (PBE-GGA) of a relaxed structure of Sm3Rh2Pb3.

magnetization = 0.00 μB/cell
energy of formation from the pure elements = -0.575 eV per atom

Geometry as CIF:
```
data_Sm3Rh2Pb3
_space_group_name_H-M_alt 'C m c m'
_space_group_IT_number 63
_space_group_name_Hall '-C 2c 2'
_cell_length_a 4.708
_cell_length_b 11.199
_cell_length_c 15.335
_cell_angle_alpha 90.00
_cell_angle_beta 90.00
_cell_angle_gamma 90.00
loop_
_atom_site_label
_atom_site_type_symbol
_atom_site_fract_x
_atom_site_fract_y
_atom_site_fract_z
_atom_site_occupancy
Sm1 Sm 0.000 0.070 0.112 1
Sm2 Sm 0.000 0.344 0.250 1
Rh1 Rh 0.000 0.196 0.614 1
Pb1 Pb 0.000 0.363 0.032 1
Pb2 Pb 0.000 0.363 0.750 1
```

=====

(4)
The following is a DFT calculation (PBE-GGA) of a relaxed structure of Sm3RhPb.

magnetization = 0.00 μB/cell
energy of formation from the pure elements = -0.393 eV per atom
relative energy among the computed polymorphs = 37.6 kJ/mol of formula units

Geometry as CIF:
```
data_Sm3RhPb
_space_group_name_H-M_alt 'P m -3 m'
_space_group_IT_number 221
_space_group_name_Hall '-P 4 2 3'
_cell_length_a 5.418
_cell_length_b 5.418
_cell_length_c 5.418
_cell_angle_alpha 90.00
_cell_angle_beta 90.00
_cell_angle_gamma 90.00
loop_
_atom_site_label
_atom_site_type_symbol
_atom_site_fract_x
_atom_site_fract_y
_atom_site_fract_z
_atom_site_occupancy
Sm1 Sm 0.000 0.000 0.500 1
Rh1 Rh 0.000 0.000 0.000 1
Pb1 Pb 0.500 0.500 0.500 1
```

=====

(5)
The following is a DFT calculation (PBE-GGA) of a relaxed structure of Sm2Rh3Pb.

magnetization = 0.00 μB/cell
energy of formation from the pure elements = -0.347 eV per atom

Geometry as CIF:
```
data_Sm2Rh3Pb
_space_group_name_H-M_alt 'I m m m'
_space_group_IT_number 71
_space_group_name_Hall '-I 2 2'
_cell_length_a 4.757
_cell_length_b 5.555
_cell_length_c 9.961
_cell_angle_alpha 90.00
_cell_angle_beta 90.00
_cell_angle_gamma 90.00
loop_
_atom_site_label
_atom_site_type_symbol
_atom_site_fract_x
_atom_site_fract_y
_atom_site_fract_z
_atom_site_occupancy
Sm1 Sm 0.000 0.000 0.178 1
Rh1 Rh 0.000 0.500 0.145 1
Rh2 Rh 0.000 0.500 0.500 1
Pb1 Pb 0.000 0.000 0.500 1
```

=====

(6)
The following is a DFT calculation (PBE-GGA) of a relaxed structure of Sm4Rh6Pb19.

magnetization = 0.00 μB/cell
energy of formation from the pure elements = -0.014 eV per atom

Geometry as CIF:
```
data_Sm4Rh6Pb19
_space_group_name_H-M_alt 'I 2 3'
_space_group_IT_number 197
_space_group_name_Hall 'I 2 2 3'
_cell_length_a 11.731
_cell_length_b 11.731
_cell_length_c 11.731
_cell_angle_alpha 90.00
_cell_angle_beta 90.00
_cell_angle_gamma 90.00
loop_
_atom_site_label
_atom_site_type_symbol
_atom_site_fract_x
_atom_site_fract_y
_atom_site_fract_z
_atom_site_occupancy
Sm1 Sm 0.166 0.166 0.834 1
Rh1 Rh 0.000 0.372 0.500 1
Pb1 Pb 0.000 0.000 0.000 1
Pb2 Pb 0.000 0.000 0.309 1
Pb3 Pb 0.058 0.307 0.281 1
```